Version one
VASP calculation (GGA-PBE) on an optimized crystal structure of Al2CrBr.

Geometry as extended XYZ:
```
8
Lattice="3.015 0.000 0.000 0.000 5.072 0.000 0.000 0.000 9.966" Properties=species:S:1:pos:R:3 pbc="T T T"
Al 0.000 0.000 0.000
Al 0.000 2.536 2.330
Al 1.507 0.000 7.313
Al 1.507 2.536 4.983
Cr 0.000 0.000 5.138
Cr 1.507 2.536 0.155
Br 0.000 2.536 8.005
Br 1.507 0.000 3.022
```

Values from the calculation:
Its magnetic moment is 6.43 μB per cell. The space-group type is No. 44. The volume is 152 Å³ per cell. The calculation puts the density of states at the Fermi level at 2.57 states/eV/f.u.



Version two
VASP calculation (GGA-PBE) on an optimized crystal structure of Al2CrBr.

Geometry as extended XYZ:
```
8
Lattice="10.994 0.000 0.000 0.000 3.139 0.000 -0.651 0.000 4.454" Properties=species:S:1:pos:R:3 pbc="T T T"
Al 2.257 0.000 1.043
Al 2.589 1.569 3.411
Al 7.754 1.569 1.043
Al 8.086 0.000 3.411
Cr 0.000 1.569 0.000
Cr 5.497 0.000 0.000
Br -0.325 0.000 2.227
Br 5.172 1.569 2.227
```

Values from the calculation:
Its magnetic moment is 7.16 μB per cell. The space-group type is No. 12. The volume is 154 Å³ per cell. The calculation puts the density of states at the Fermi level at 2.31 states/eV/f.u.



Q: Which of them is the least stable? A: version two.



Version one
VASP calculation (GGA-PBE) on an optimized crystal structure of AlCrBr.

Geometry as extended XYZ:
```
3
Lattice="3.292 0.000 0.000 -1.646 2.851 0.000 0.000 0.000 6.043" Properties=species:S:1:pos:R:3 pbc="T T T"
Al 0.000 0.000 0.000
Cr 0.000 1.901 4.279
Br 1.646 0.950 2.413
```

Values from the calculation:
Its magnetic moment is 2.97 μB per cell. The space-group type is No. 156. The volume is 57 Å³ per cell. The calculation puts the density of states at the Fermi level at 2.52 states/eV/f.u.



Version two
VASP calculation (GGA-PBE) on an optimized crystal structure of AlCrBr.

Geometry as extended XYZ:
```
12
Lattice="6.497 0.000 0.000 0.000 6.497 0.000 0.000 0.000 6.497" Properties=species:S:1:pos:R:3 pbc="T T T"
Al 0.000 0.000 0.000
Al 0.000 3.248 3.248
Al 3.248 0.000 3.248
Al 3.248 3.248 0.000
Cr 1.624 1.624 4.873
Cr 1.624 4.873 1.624
Cr 4.873 1.624 1.624
Cr 4.873 4.873 4.873
Br 0.000 0.000 3.248
Br 0.000 3.248 0.000
Br 3.248 0.000 0.000
Br 3.248 3.248 3.248
```

Values from the calculation:
Its magnetic moment is 15.70 μB per cell. The space-group type is No. 216. The volume is 274 Å³ per cell. The calculation puts the density of states at the Fermi level at 2.32 states/eV/f.u.



Version three
VASP calculation (GGA-PBE) on an optimized crystal structure of AlCrBr.

Geometry as extended XYZ:
```
3
Lattice="4.528 0.000 0.000 -2.264 3.921 0.000 0.000 0.000 3.303" Properties=species:S:1:pos:R:3 pbc="T T T"
Al 0.000 0.000 0.000
Cr 2.264 1.307 1.651
Br 0.000 2.614 1.651
```

Values from the calculation:
Its magnetic moment is 3.58 μB per cell. The space-group type is No. 187. The volume is 59 Å³ per cell. The calculation puts the density of states at the Fermi level at 1.64 states/eV/f.u.



Version four
VASP calculation (GGA-PBE) on an optimized crystal structure of AlCrBr.

Geometry as extended XYZ:
```
12
Lattice="4.662 0.000 0.000 0.000 4.708 0.000 0.000 0.000 11.459" Properties=species:S:1:pos:R:3 pbc="T T T"
Al 0.000 0.000 0.000
Al 0.000 2.354 5.730
Al 2.331 0.000 5.730
Al 2.331 2.354 0.000
Cr 0.000 0.000 4.425
Cr 0.000 2.354 10.155
Cr 2.331 0.000 10.155
Cr 2.331 2.354 4.425
Br 0.000 0.000 8.484
Br 0.000 2.354 2.754
Br 2.331 0.000 2.754
Br 2.331 2.354 8.484
```

Values from the calculation:
Its magnetic moment is 15.02 μB per cell. The space-group type is No. 42. The volume is 251 Å³ per cell. The calculation puts the density of states at the Fermi level at 2.04 states/eV/f.u.



Q: Which of them is the least stable? A: version two.



Version one
VASP calculation (GGA-PBE) on an optimized crystal structure of Al2Cr2Br.

Geometry as extended XYZ:
```
10
Lattice="7.266 0.000 0.000 0.000 7.266 0.000 0.000 0.000 3.067" Properties=species:S:1:pos:R:3 pbc="T T T"
Al 1.338 2.295 0.000
Al 2.295 5.927 0.000
Al 4.971 1.338 0.000
Al 5.927 4.971 0.000
Cr 0.721 4.354 1.533
Cr 2.912 0.721 1.533
Cr 4.354 6.544 1.533
Cr 6.544 2.912 1.533
Br 0.000 0.000 1.533
Br 3.633 3.633 1.533
```

Values from the calculation:
Its magnetic moment is 0.00 μB per cell. The space-group type is No. 127. The volume is 162 Å³ per cell. The calculation puts the density of states at the Fermi level at 4.42 states/eV/f.u.



Version two
VASP calculation (GGA-PBE) on an optimized crystal structure of Al2Cr2Br.

Geometry as extended XYZ:
```
10
Lattice="3.716 0.000 0.000 0.000 3.716 0.000 0.000 0.000 14.343" Properties=species:S:1:pos:R:3 pbc="T T T"
Al 0.000 1.858 3.586
Al 0.000 1.858 10.757
Al 1.858 0.000 3.586
Al 1.858 0.000 10.757
Cr 0.000 0.000 1.643
Cr 0.000 0.000 12.700
Cr 1.858 1.858 5.528
Cr 1.858 1.858 8.815
Br 0.000 0.000 7.171
Br 1.858 1.858 0.000
```

Values from the calculation:
Its magnetic moment is 14.65 μB per cell. The space-group type is No. 139. The volume is 198 Å³ per cell. The calculation puts the density of states at the Fermi level at 2.46 states/eV/f.u.



Q: Which of them is the least stable? A: version two.



Version one
VASP calculation (GGA-PBE) on an optimized crystal structure of Al3CrBr.

Geometry as extended XYZ:
```
5
Lattice="4.967 0.000 0.000 0.000 4.967 0.000 0.000 0.000 4.967" Properties=species:S:1:pos:R:3 pbc="T T T"
Al 0.000 0.000 2.484
Al 0.000 2.484 0.000
Al 2.484 0.000 0.000
Cr 0.000 0.000 0.000
Br 2.484 2.484 2.484
```

Values from the calculation:
Its magnetic moment is 4.00 μB per cell. The space-group type is No. 221. The volume is 123 Å³ per cell. The calculation puts the density of states at the Fermi level at 5.15 states/eV/f.u.



Version two
VASP calculation (GGA-PBE) on an optimized crystal structure of Al3CrBr.

Geometry as extended XYZ:
```
5
Lattice="5.162 0.000 0.000 0.000 5.162 0.000 0.000 0.000 5.162" Properties=species:S:1:pos:R:3 pbc="T T T"
Al 0.000 0.000 2.581
Al 0.000 2.581 0.000
Al 2.581 0.000 0.000
Cr 2.581 2.581 2.581
Br 0.000 0.000 0.000
```

Values from the calculation:
Its magnetic moment is 4.33 μB per cell. The space-group type is No. 221. The volume is 138 Å³ per cell. The calculation puts the density of states at the Fermi level at 2.87 states/eV/f.u.



Q: Which of them is the least stable? A: version two.



Version one
VASP calculation (GGA-PBE) on an optimized crystal structure of CsAl3Br.

Geometry as extended XYZ:
```
5
Lattice="5.804 0.000 0.000 0.000 5.804 0.000 0.000 0.000 5.804" Properties=species:S:1:pos:R:3 pbc="T T T"
Cs 0.000 0.000 0.000
Al 0.000 2.902 2.902
Al 2.902 0.000 2.902
Al 2.902 2.902 0.000
Br 2.902 2.902 2.902
```

Values from the calculation:
Its magnetic moment is 0.00 μB per cell. The space-group type is No. 221. The volume is 196 Å³ per cell. The calculation puts the density of states at the Fermi level at 3.44 states/eV/f.u.



Version two
VASP calculation (GGA-PBE) on an optimized crystal structure of CsAl3Br.

Geometry as extended XYZ:
```
5
Lattice="6.595 0.000 0.000 0.000 6.595 0.000 0.000 0.000 6.595" Properties=species:S:1:pos:R:3 pbc="T T T"
Cs 0.000 0.000 0.000
Al 0.000 0.000 3.297
Al 0.000 3.297 0.000
Al 3.297 0.000 0.000
Br 3.297 3.297 3.297
```

Values from the calculation:
Its magnetic moment is 0.00 μB per cell. The space-group type is No. 221. The volume is 287 Å³ per cell. The calculation puts the density of states at the Fermi level at 5.74 states/eV/f.u.



Q: Which of them is the least stable? A: version two.



Version one
VASP calculation (GGA-PBE) on an optimized crystal structure of Al2CuBr.

Geometry as extended XYZ:
```
12
Lattice="3.481 0.000 0.000 -1.741 3.015 0.000 0.000 0.000 21.784" Properties=species:S:1:pos:R:3 pbc="T T T"
Al 0.000 0.000 5.111
Al 0.000 0.000 16.673
Al 0.000 2.010 9.411
Al 0.000 2.010 19.634
Al 1.741 1.005 2.150
Al 1.741 1.005 12.373
Cu 0.000 0.000 10.892
Cu 0.000 2.010 3.631
Cu 1.741 1.005 18.153
Br 0.000 0.000 0.000
Br 0.000 2.010 14.523
Br 1.741 1.005 7.261
```

Values from the calculation:
Its magnetic moment is 0.00 μB per cell. The space-group type is No. 166. The volume is 229 Å³ per cell. The calculation puts the density of states at the Fermi level at 0.92 states/eV/f.u.



Version two
VASP calculation (GGA-PBE) on an optimized crystal structure of Al2CuBr.

Geometry as extended XYZ:
```
12
Lattice="3.459 0.000 0.000 -1.730 2.996 0.000 0.000 0.000 22.750" Properties=species:S:1:pos:R:3 pbc="T T T"
Al 0.000 0.000 0.000
Al 0.000 0.000 5.652
Al 0.000 1.997 15.167
Al 0.000 1.997 20.818
Al 1.730 0.999 7.583
Al 1.730 0.999 13.235
Cu 0.000 0.000 16.612
Cu 0.000 1.997 9.029
Cu 1.730 0.999 1.446
Br 0.000 0.000 11.361
Br 0.000 1.997 3.778
Br 1.730 0.999 18.944
```

Values from the calculation:
Its magnetic moment is 0.00 μB per cell. The space-group type is No. 160. The volume is 236 Å³ per cell. The calculation puts the density of states at the Fermi level at 0.96 states/eV/f.u.



Version three
VASP calculation (GGA-PBE) on an optimized crystal structure of Al2CuBr.

Geometry as extended XYZ:
```
8
Lattice="3.977 0.000 0.000 0.000 3.977 0.000 0.000 0.000 9.780" Properties=species:S:1:pos:R:3 pbc="T T T"
Al 0.000 1.989 2.445
Al 0.000 1.989 7.335
Al 1.989 0.000 2.445
Al 1.989 0.000 7.335
Cu 0.000 0.000 0.000
Cu 1.989 1.989 4.890
Br 0.000 0.000 4.890
Br 1.989 1.989 0.000
```

Values from the calculation:
Its magnetic moment is 0.00 μB per cell. The space-group type is No. 139. The volume is 155 Å³ per cell. The calculation puts the density of states at the Fermi level at 1.41 states/eV/f.u.



Q: Which of them is the least stable? A: version three.